[1]
AlSb2Ru | PBE | optimized geometry

ΔE_f (raw) (eV/atom): 0.1030
Total DFT energy (no corrections) (eV per atom): -5.2128
Size of the total moment (μB/cell): 0.00
Space-group type: Imm2, No. 44
ρ (g cm⁻³): 7.3
Fermi-level density of states (states/eV per cell): 2.599

Cell lengths 6.669, 6.669, 6.669 Å; angles 152.86, 141.41, 47.82 degrees
Fractional positions:
Al (0.000, 0.000, 0.000)
Sb (0.378, 0.378, 0.000)
Sb (0.658, 0.158, 0.500)
Ru (0.189, 0.689, 0.500)

[2]
AlSb3Ru | PBE | optimized geometry

ΔE_f (raw) (eV/atom): 1.1980
Total DFT energy (no corrections) (eV per atom): -3.8791
Size of the total moment (μB/cell): 1.80
Space-group type: Pm-3m, No. 221
ρ (g cm⁻³): 6.0
Fermi-level density of states (states/eV per cell): 5.346
Energy relative to the lowest polymorph listed for this composition (meV per atom): 663

Cell lengths 5.147, 5.147, 5.147 Å; angles 90.00, 90.00, 90.00 degrees
Fractional positions:
Al (0.000, 0.000, 0.000)
Sb (0.000, 0.000, 0.500)
Sb (0.000, 0.500, 0.000)
Sb (0.500, 0.000, 0.000)
Ru (0.500, 0.500, 0.500)

[3]
AlSb2Ru | PBE | optimized geometry

ΔE_f (raw) (eV/atom): 0.2869
Total DFT energy (no corrections) (eV per atom): -5.0289
Size of the total moment (μB/cell): 0.00
Space-group type: Cmmm, No. 65
ρ (g cm⁻³): 7.9
Fermi-level density of states (states/eV per cell): 2.390

Cell lengths 4.923, 4.923, 3.334 Å; angles 90.00, 90.00, 104.11 degrees
Fractional positions:
Al (0.000, 0.000, 0.000)
Sb (0.000, 0.500, 0.500)
Sb (0.500, 0.000, 0.500)
Ru (0.500, 0.500, 0.000)

[4]
AlSbRu | PBE | optimized geometry

ΔE_f (raw) (eV/atom): 0.0921
Total DFT energy (no corrections) (eV per atom): -5.6215
Size of the total moment (μB/cell): 0.00
Space-group type: P-6m2, No. 187
ρ (g cm⁻³): 7.6
Fermi-level density of states (states/eV per cell): 2.305
Energy relative to the lowest polymorph listed for this composition (meV per atom): 295

Cell lengths 4.332, 4.332, 3.354 Å; angles 90.00, 90.00, 120.00 degrees
Fractional positions:
Al (0.000, 0.000, 0.000)
Sb (0.333, 0.667, 0.500)
Ru (0.667, 0.333, 0.000)

[5]
AlSb2Ru | PBE | optimized geometry

ΔE_f (raw) (eV/atom): 0.0905
Total DFT energy (no corrections) (eV per atom): -5.2253
Size of the total moment (μB/cell): 0.00
Space-group type: P2/m, No. 10
ρ (g cm⁻³): 7.7
Fermi-level density of states (states/eV per cell): 2.740

Cell lengths 3.240, 3.218, 7.711 Å; angles 90.00, 90.07, 90.00 degrees
Fractional positions:
Al (0.000, 0.000, 0.000)
Sb (0.500, 0.500, 0.283)
Sb (0.500, 0.500, 0.717)
Ru (0.000, 0.000, 0.500)

[6]
AlSb2Ru | PBE | optimized geometry

ΔE_f (raw) (eV/atom): 0.3546
Total DFT energy (no corrections) (eV per atom): -4.9612
Size of the total moment (μB/cell): 0.00
Space-group type: I-4m2, No. 119
ρ (g cm⁻³): 7.8
Fermi-level density of states (states/eV per cell): 2.870

Cell lengths 5.190, 5.190, 5.190 Å; angles 130.62, 130.62, 72.41 degrees
Fractional positions:
Al (0.000, 0.000, 0.000)
Sb (0.500, 0.500, 0.000)
Sb (0.750, 0.250, 0.500)
Ru (0.250, 0.750, 0.500)